(1)
Material: Ca2Tl3
Method: DFT, PBE
State: optimized geometry

```
Ca2Tl3
1.0
5.317 0.000 0.000
-2.659 4.605 0.000
0.000 0.000 6.648
Ca Tl
2 3
Cartesian
0.000 3.070 2.220 Ca
2.659 1.535 4.429 Ca
0.000 0.000 3.324 Tl
0.000 3.070 5.657 Tl
2.659 1.535 0.991 Tl
```

Output
ΔH_f (0 K) = -0.197 eV/atom
space group = No. 164
ΔE to the lowest computed polymorph = 0.0919 eV/atom


(2)
Material: Na2H4N
Method: DFT, PBE
State: optimized geometry

```
Na2H4N
1.0
7.830 0.000 0.000
0.000 3.941 0.000
-3.655 0.000 8.632
Na H N
4 8 2
Cartesian
-0.235 0.985 1.435 Na
-0.571 2.956 4.670 Na
4.746 0.985 3.962 Na
4.410 2.956 7.197 Na
-0.742 0.985 3.596 H
-0.254 2.956 7.575 H
3.088 0.177 1.523 H
3.088 1.794 1.523 H
1.087 2.148 7.109 H
1.087 3.764 7.109 H
4.429 0.985 1.057 H
4.917 2.956 5.036 H
0.496 2.956 6.867 N
3.679 0.985 1.765 N
```

Output
space group = No. 11


(3)
Material: BeAs2BrO
Method: DFT, PBE
State: optimized geometry

```
BeAs2BrO
1.0
5.248 0.000 0.000
0.000 5.248 0.000
0.000 0.000 3.634
Be As Br O
1 2 1 1
Cartesian
0.000 0.000 0.000 Be
0.000 2.624 1.817 As
2.624 0.000 1.817 As
2.624 2.624 1.817 Br
2.624 2.624 0.000 O
```

Output
space group = No. 123
ΔE to the lowest computed polymorph = 0.4750 eV/atom
ΔE_f (raw) = 120 kJ/mol of atoms


(4)
Material: ThNi5H7
Method: DFT, PBE
State: optimized geometry

```
ThNi5H7
1.0
-2.428 4.529 2.584
2.428 -4.529 2.584
2.428 4.529 -2.584
Th Ni H
1 5 7
Cartesian
0.000 0.000 0.000 Th
2.428 0.000 2.053 Ni
1.214 2.266 1.266 Ni
1.215 -2.263 3.850 Ni
1.214 6.792 1.266 Ni
1.215 2.263 3.850 Ni
2.428 0.000 0.531 H
2.428 2.318 -0.051 H
0.000 2.789 0.029 H
0.000 0.000 2.227 H
0.000 0.000 2.987 H
0.000 6.269 0.029 H
0.000 2.211 2.533 H
```

Output
space group = No. 44


(5)
Material: PrNdPtAu
Method: DFT, PBE
State: optimized geometry

```
PrNdPtAu
1.0
0.000 3.677 3.677
3.677 0.000 3.677
3.677 3.677 0.000
Pr Nd Pt Au
1 1 1 1
Cartesian
0.000 0.000 0.000 Pr
3.677 3.677 3.677 Nd
5.516 5.516 5.516 Pt
1.839 1.839 1.839 Au
```

Output
ΔH_f (0 K) = -0.885 eV/atom
space group = No. 216
ΔE to the lowest computed polymorph = 0.0760 eV/atom


(6)
Material: TlPd6Pt23
Method: DFT, PBE
State: optimized geometry

```
TlPd6Pt23
1.0
-3.946 3.946 7.869
3.946 -3.946 7.869
3.946 3.946 -7.869
Tl Pd Pt
1 6 23
Cartesian
0.000 0.000 0.000 Tl
0.000 0.000 3.925 Pd
1.980 1.980 0.000 Pd
1.966 -1.966 7.869 Pd
-1.966 1.966 7.869 Pd
1.966 1.966 7.869 Pd
0.000 0.000 11.813 Pd
1.973 1.973 -3.935 Pt
1.973 -1.973 3.935 Pt
3.946 0.000 0.000 Pt
3.946 1.954 -2.016 Pt
3.946 -1.896 5.806 Pt
2.049 0.000 2.063 Pt
5.842 0.000 2.063 Pt
1.954 3.946 -2.016 Pt
1.992 0.000 5.854 Pt
3.946 1.954 2.016 Pt
0.000 2.049 2.063 Pt
-1.973 1.973 3.935 Pt
0.000 3.946 0.000 Pt
0.000 0.000 7.869 Pt
1.973 1.973 3.935 Pt
3.946 1.896 5.806 Pt
0.000 1.992 5.854 Pt
1.954 3.946 2.016 Pt
1.992 0.000 9.885 Pt
-1.896 3.946 5.806 Pt
1.896 3.946 5.806 Pt
0.000 5.842 2.063 Pt
0.000 1.992 9.885 Pt
```

Output
ΔH_f (0 K) = 0.003 eV/atom
space group = No. 139


no.,final energy (eV per atom)
1,-2.418
2,-3.698
3,-2.691
4,-4.540
5,-5.601
6,-5.745